Entry 1:
Material: Zr4InSN2
Method: DFT, GGA-PBE
State: optimized geometry

a b c (Å): 3.3493 3.3493 13.4304
angles (deg): 90.00 90.00 120.00
With the nearest neighbours (Å) after each atom.
Sites, in units of the cell vectors:
N 0.3333 0.6667 0.7299  6 Zr 2.26-2.32
Zr 0.6667 0.3333 0.8170  3 N 2.26
S 0.6667 0.3333 0.5000  6 Zr 2.65
In 0.0000 0.0000 0.0000  6 Zr 3.13, 6 In 3.35
N 0.3333 0.6667 0.2701  6 Zr 2.26-2.32
Zr 0.0000 0.0000 0.6350  3 N 2.32
Zr 0.0000 0.0000 0.3650  3 N 2.32
Zr 0.6667 0.3333 0.1830  3 N 2.26

Computed properties:
As for the total magnetization: 0.00 μB/f.u. The symmetry is P-6m2. The total DFT energy (no corrections) comes out at -8.55 eV per atom.



Entry 2:
Material: NaZnPO4
Method: DFT, GGA-PBE
State: optimized geometry

a b c (Å): 5.1674 5.1674 5.1674
angles (deg): 121.15 121.15 88.02
With the nearest neighbours (Å) after each atom.
Sites, in units of the cell vectors:
O 0.0697 0.5162 0.8562  1 P 1.55
O 0.7865 0.9303 0.4465  1 P 1.55
Zn 0.5000 0.5000 0.0000  4 O 1.96
P 0.7500 0.2500 0.5000  4 O 1.55
O 0.6600 0.2135 0.1438  1 P 1.55
O 0.4838 0.3400 0.5535  1 P 1.55
Na 0.0000 0.0000 0.0000  4 O 2.29

Computed properties:
Its energy above the lowest structure with this stoichiometry is 3 meV per atom. The symmetry is I-4.